Below is crystalline TbTlHg3Se4 at its relaxed geometry, with properties calculated at the PBE level.

Unit cell a=6.8730 b=6.8730 c=6.8730 alpha=90.00 beta=90.00 gamma=90.00
Space group P-43m (No. 215)
Asymmetric unit:
Tb1 0.0000 0.0000 0.0000
Tl1 0.5000 0.5000 0.5000
Hg1 0.0000 0.0000 0.5000
Se1 0.2283 0.2283 0.7717

* DFT total energy: -26.3 eV per formula unit

***

Below is crystalline Tc2HgSe2 at its relaxed geometry, with properties calculated at the PBE level.

Unit cell a=5.1352 b=14.6942 c=5.0033 alpha=90.00 beta=90.00 gamma=90.00
Space group Ibam (No. 72)
Asymmetric unit:
Tc1 0.1710 0.1955 0.0000
Hg1 0.0000 0.0000 0.2500
Se1 0.1695 0.3557 0.0000

* offset from the most stable computed form: 321 meV per atom

***

Below is crystalline TcHgSe2 at its relaxed geometry, with properties calculated at the PBE level.

Unit cell a=19.6071 b=3.2385 c=6.0350 alpha=90.00 beta=93.02 gamma=90.00
Space group C2/m (No. 12)
Asymmetric unit:
Tc1 0.2487 0.0000 0.3035
Hg1 0.0166 0.0000 0.7526
Se1 0.1580 0.5000 0.4116
Se2 0.1806 0.0000 0.9187

* DFT total energy: -18.9 eV per formula unit

***

Below is crystalline Hg2TeSe at its relaxed geometry, with properties calculated at the PBE level.

Unit cell a=4.5410 b=4.5410 c=6.4040 alpha=90.00 beta=90.00 gamma=90.00
Space group P-4m2 (No. 115)
Asymmetric unit:
Hg1 0.0000 0.5000 0.2342
Te1 0.0000 0.0000 0.5000
Se1 0.5000 0.5000 0.0000

* DFT total energy: -7.9 eV per formula unit

***

Below is crystalline Tl6HgSe4 at its relaxed geometry, with properties calculated at the PBE level.

Unit cell a=10.5496 b=10.5496 c=7.4675 alpha=90.00 beta=90.00 gamma=120.00
Space group P6_3mc (No. 186)
Asymmetric unit:
Tl1 0.0604 0.5302 0.0000
Tl2 0.1543 0.3085 0.3241
Hg1 0.3333 0.6667 0.6354
Se1 0.1895 0.3791 0.7368
Se2 0.3333 0.6667 0.2562

* DFT total energy: -31.9 eV per formula unit

***

Below is crystalline Tl2HgSe2 at its relaxed geometry, with properties calculated at the PBE level.

Unit cell a=6.3805 b=11.4956 c=3.9326 alpha=90.00 beta=90.00 gamma=90.00
Space group Pbam (No. 55)
Asymmetric unit:
Tl1 0.0836 0.1593 0.0000
Hg1 0.0000 0.5000 0.0000
Se1 0.2036 0.3714 0.5000

* DFT total energy: -13.0 eV per formula unit

***

Below is crystalline TmTlHgSe3 at its relaxed geometry, with properties calculated at the PBE level.

Unit cell a=4.1589 b=14.7370 c=10.9060 alpha=90.00 beta=90.00 gamma=90.00
Space group Cmcm (No. 63)
Asymmetric unit:
Tm1 0.0000 0.0000 0.0000
Tl1 0.0000 0.2508 0.2500
Hg1 0.0000 0.4524 0.7500
Se1 0.0000 0.0735 0.7500
Se2 0.0000 0.3681 0.5391

* offset from the most stable computed form: 0 meV per atom

***

Below is crystalline TmTlHgSe3 at its relaxed geometry, with properties calculated at the PBE level.

Unit cell a=12.3229 b=4.2264 c=12.8119 alpha=90.00 beta=90.00 gamma=90.00
Space group Pnma (No. 62)
Asymmetric unit:
Tm1 0.0361 0.2500 0.1702
Tl1 0.1564 0.2500 0.5030
Hg1 0.2484 0.2500 0.8051
Se1 0.0328 0.7500 0.3248
Se2 0.0819 0.2500 0.9337
Se3 0.2393 0.7500 0.6670

* offset from the most stable computed form: 51 meV per atom

***

Below is crystalline TmTlHgSe3 at its relaxed geometry, with properties calculated at the PBE level.

Unit cell a=10.9442 b=4.1943 c=14.4212 alpha=90.00 beta=90.00 gamma=90.00
Space group Pnma (No. 62)
Asymmetric unit:
Tm1 0.0012 0.2500 0.2498
Tl1 0.2497 0.2500 0.5020
Hg1 0.2488 0.2500 0.7981
Se1 0.0377 0.2500 0.8834
Se2 0.0399 0.7500 0.3832
Se3 0.2487 0.7500 0.6757

* offset from the most stable computed form: 2 meV per atom

***

Below is crystalline TmTlHgSe3 at its relaxed geometry, with properties calculated at the PBE level.

Unit cell a=8.2699 b=4.1833 c=10.4834 alpha=90.00 beta=107.76 gamma=90.00
Space group P2_1/m (No. 11)
Asymmetric unit:
Tm1 0.1863 0.2500 0.1356
Tl1 0.2385 0.7500 0.7214
Hg1 0.4217 0.7500 0.3819
Se1 0.0462 0.2500 0.8592
Se2 0.2400 0.2500 0.4351
Se3 0.4240 0.7500 0.1316

* offset from the most stable computed form: 8 meV per atom

***

Below is crystalline TmTlHgSe3 at its relaxed geometry, with properties calculated at the PBE level.

Unit cell a=17.8346 b=4.1243 c=9.3224 alpha=90.00 beta=103.58 gamma=90.00
Space group C2/m (No. 12)
Asymmetric unit:
Tm1 0.1737 0.0000 0.0864
Tl1 0.1394 0.0000 0.5747
Hg1 0.0186 0.5000 0.2204
Se1 0.0000 0.0000 0.0000
Se2 0.0000 0.5000 0.5000
Se3 0.1659 0.5000 0.8745
Se4 0.1768 0.5000 0.2970

* offset from the most stable computed form: 38 meV per atom

***

Below is crystalline TmTlHgSe3 at its relaxed geometry, with properties calculated at the PBE level.

Unit cell a=8.3088 b=4.4119 c=17.0994 alpha=90.00 beta=90.00 gamma=90.00
Space group Pnma (No. 62)
Asymmetric unit:
Tm1 0.2270 0.2500 0.0377
Tl1 0.0690 0.2500 0.8068
Hg1 0.0701 0.2500 0.3402
Se1 0.0024 0.2500 0.5725
Se2 0.1245 0.7500 0.9488
Se3 0.2228 0.2500 0.2024

* offset from the most stable computed form: 95 meV per atom